[1]
Density functional theory data (PBE) for a relaxed Er8Tm2Sc crystal.

abc: 9.8397 9.8397 5.5230
angles: 92.22 92.22 40.40
Fractional positions:
Er 0.0465 0.0465 0.2346
Er 0.1054 0.6346 0.2628
Er 0.3154 0.3154 0.7668
Er 0.3654 0.8946 0.7372
Er 0.6346 0.1054 0.2628
Er 0.6846 0.6846 0.2332
Er 0.8946 0.3654 0.7372
Er 0.9535 0.9535 0.7654
Tm 0.2168 0.2168 0.2532
Tm 0.7832 0.7832 0.7468
Sc 0.5000 0.5000 0.0000

Properties
Spin magnetization = 0.00 μB per cell
Energy above the most stable polymorph in this dataset = 71 meV per atom
Energy of formation from the pure elements = 0.19 eV/atom

=====

[2]
Density functional theory data (PBE) for a relaxed Er3Tm7Sc crystal.

abc: 6.6729 5.3433 9.7089
angles: 90.00 104.14 90.00
Fractional positions:
Er 0.0000 0.0000 0.0000
Er 0.2675 0.5000 0.4776
Er 0.7325 0.5000 0.5224
Tm 0.0000 0.0000 0.5000
Tm 0.1664 0.5000 0.7846
Tm 0.3131 0.5000 0.1243
Tm 0.4651 0.0000 0.3272
Tm 0.5349 0.0000 0.6728
Tm 0.6869 0.5000 0.8757
Tm 0.8336 0.5000 0.2154
Sc 0.5000 0.0000 0.0000

Properties
Spin magnetization = 0.00 μB per cell
Energy above the most stable polymorph in this dataset = 0 meV per atom
Energy of formation from the pure elements = 0.17 eV/atom

=====

[3]
Density functional theory data (PBE) for a relaxed Er12TmSc6 crystal.

abc: 8.9906 8.9906 8.9906
angles: 107.71 107.71 107.71
Fractional positions:
Er 0.0000 0.3878 0.6122
Er 0.0000 0.6122 0.3878
Er 0.1342 0.1342 0.3586
Er 0.1342 0.3586 0.1342
Er 0.3586 0.1342 0.1342
Er 0.3878 0.0000 0.6122
Er 0.3878 0.6122 0.0000
Er 0.6122 0.0000 0.3878
Er 0.6122 0.3878 0.0000
Er 0.6414 0.8658 0.8658
Er 0.8658 0.6414 0.8658
Er 0.8658 0.8658 0.6414
Tm 0.5000 0.5000 0.5000
Sc 0.1869 0.1869 0.7765
Sc 0.1869 0.7765 0.1869
Sc 0.2235 0.8131 0.8131
Sc 0.7765 0.1869 0.1869
Sc 0.8131 0.2235 0.8131
Sc 0.8131 0.8131 0.2235

Properties
Spin magnetization = 0.00 μB per cell
Energy above the most stable polymorph in this dataset = 201 meV per atom
Energy of formation from the pure elements = 0.44 eV/atom

=====

[4]
Density functional theory data (PBE) for a relaxed Er8Tm3Sc crystal.

abc: 9.2345 9.2345 9.2345
angles: 131.86 131.86 70.45
Fractional positions:
Er 0.1234 0.1234 0.4929
Er 0.1234 0.6305 0.0000
Er 0.3695 0.3695 0.4929
Er 0.3695 0.8766 0.0000
Er 0.6305 0.1234 0.0000
Er 0.6305 0.6305 0.5071
Er 0.8766 0.3695 0.0000
Er 0.8766 0.8766 0.5071
Tm 0.2500 0.7500 0.5000
Tm 0.5000 0.5000 0.0000
Tm 0.7500 0.2500 0.5000
Sc 0.0000 0.0000 0.0000

Properties
Spin magnetization = 0.03 μB per cell
Energy of formation from the pure elements = 0.71 eV/atom

=====

[5]
Density functional theory data (PBE) for a relaxed Er2Tm3Sc crystal.

abc: 9.1378 9.1378 5.9884
angles: 90.02 90.02 44.50
Fractional positions:
Er 0.0395 0.2913 0.4154
Er 0.2913 0.0395 0.9154
Er 0.7087 0.9605 0.0846
Er 0.9605 0.7087 0.5846
Tm 0.1278 0.8722 0.2500
Tm 0.2122 0.4597 0.0809
Tm 0.4597 0.2122 0.5809
Tm 0.5403 0.7878 0.4191
Tm 0.7878 0.5403 0.9191
Tm 0.8722 0.1278 0.7500
Sc 0.3771 0.6229 0.7500
Sc 0.6229 0.3771 0.2500

Properties
Spin magnetization = 0.00 μB per cell
Energy above the most stable polymorph in this dataset = 0 meV per atom
Energy of formation from the pure elements = 0.04 eV/atom

=====

[6]
Density functional theory data (PBE) for a relaxed Er6Tm3Sc2 crystal.

abc: 16.1167 16.1167 16.1167
angles: 163.39 163.39 23.57
Fractional positions:
Er 0.1165 0.6165 0.5000
Er 0.1939 0.1939 0.0000
Er 0.3835 0.8835 0.5000
Er 0.6165 0.1165 0.5000
Er 0.8061 0.8061 0.0000
Er 0.8835 0.3835 0.5000
Tm 0.3015 0.3015 0.0000
Tm 0.5000 0.5000 0.0000
Tm 0.6985 0.6985 0.0000
Sc 0.0438 0.0438 0.0000
Sc 0.9562 0.9562 0.0000

Properties
Spin magnetization = 0.00 μB per cell
Energy of formation from the pure elements = 0.31 eV/atom

=====

no.,raw total energy (eV/atom)
1,-4.517
2,-4.499
3,-4.676
4,-3.973
5,-4.773
6,-4.549